# 1
Below is a relaxed MgCdH8Ir2 crystal, with properties calculated at the PBE level.

```
MgCdH8Ir2
1.0
2.3251 1.3424 5.6596
-2.3251 1.3424 5.6596
0.0000 -2.6848 5.6596
Mg Cd H Ir
1 1 8 2
direct
0.0000 0.0000 0.0000
0.5000 0.5000 0.5000
0.0323 0.5638 0.5638
0.1226 0.1226 0.1226
0.4362 0.4362 0.9677
0.4362 0.9677 0.4362
0.5638 0.0323 0.5638
0.5638 0.5638 0.0323
0.8774 0.8774 0.8774
0.9677 0.4362 0.4362
0.2188 0.2188 0.2188
0.7812 0.7812 0.7812
```

Summary:
DOS at the Fermi energy, states/eV/cell: 1.60

---

# 2
Below is a relaxed Mg2CdHIr crystal, with properties calculated at the PBE level.

```
Mg2CdHIr
1.0
4.5244 0.0000 0.0000
0.0000 4.5244 0.0000
0.0000 0.0000 3.5973
Mg Cd H Ir
2 1 1 1
direct
0.0000 0.5000 0.0000
0.5000 0.0000 0.0000
0.0000 0.0000 0.5000
0.5000 0.5000 0.0000
0.5000 0.5000 0.5000
```

Summary:
Energy above the lowest structure with this stoichiometry, meV per atom: 0
DOS at the Fermi energy, states/eV/cell: 2.34

---

# 3
Below is a relaxed MgCdH6Ir2 crystal, with properties calculated at the PBE level.

```
MgCdH6Ir2
1.0
3.7768 -4.5777 0.0000
3.7768 4.5777 0.0000
-1.0927 0.0000 5.3355
Mg Cd H Ir
2 2 12 4
direct
0.1237 0.8763 0.7500
0.8763 0.1237 0.2500
0.3590 0.6410 0.2500
0.6410 0.3590 0.7500
0.0334 0.8243 0.3768
0.0498 0.5406 0.8681
0.1757 0.9666 0.1232
0.2345 0.2719 0.9089
0.2719 0.2345 0.4089
0.4594 0.9502 0.6319
0.5406 0.0498 0.3681
0.7281 0.7655 0.5911
0.7655 0.7281 0.0911
0.8243 0.0334 0.8768
0.9502 0.4594 0.1319
0.9666 0.1757 0.6232
0.1699 0.4131 0.6587
0.4131 0.1699 0.1587
0.5869 0.8301 0.8413
0.8301 0.5869 0.3413
```

Summary:
DOS at the Fermi energy, states/eV/cell: 0.98

---

# 4
Below is a relaxed Mg2CdHIr crystal, with properties calculated at the PBE level.

```
Mg2CdHIr
1.0
5.0228 0.0000 0.0000
0.0000 5.0228 0.0000
0.0000 0.0000 5.2207
Mg Cd H Ir
2 1 1 1
direct
0.0000 0.5000 0.0000
0.5000 0.0000 0.0000
0.0000 0.0000 0.5000
0.5000 0.5000 0.5000
0.0000 0.0000 0.0000
```

Summary:
Energy above the lowest structure with this stoichiometry, meV per atom: 807
DOS at the Fermi energy, states/eV/cell: 1.80

---

# 5
Below is a relaxed MgCdHIr2 crystal, with properties calculated at the PBE level.

```
MgCdHIr2
1.0
4.0278 0.0000 0.0000
0.0000 4.0278 0.0000
0.0000 0.0000 4.1436
Mg Cd H Ir
1 1 1 2
direct
0.0000 0.0000 0.0000
0.5000 0.5000 0.0000
0.0000 0.0000 0.5000
0.0000 0.5000 0.5000
0.5000 0.0000 0.5000
```

Summary:
DOS at the Fermi energy, states/eV/cell: 3.61

---

# 6
Below is a relaxed NaCdH8Ir2 crystal, with properties calculated at the PBE level.

```
NaCdH8Ir2
1.0
2.4822 1.4331 5.8589
-2.4822 1.4331 5.8589
0.0000 -2.8662 5.8589
Na Cd H Ir
1 1 8 2
direct
0.0000 0.0000 0.0000
0.5000 0.5000 0.5000
0.0279 0.6039 0.0357
0.0357 0.0279 0.6039
0.2923 0.2923 0.2923
0.3961 0.9643 0.9721
0.6039 0.0357 0.0279
0.7077 0.7077 0.7077
0.9643 0.9721 0.3961
0.9721 0.3961 0.9643
0.1984 0.1984 0.1984
0.8016 0.8016 0.8016
```

Summary:
DOS at the Fermi energy, states/eV/cell: 1.96

---

# 7
Below is a relaxed Na2CdH6Ir crystal, with properties calculated at the PBE level.

```
Na2CdH6Ir
1.0
5.1867 0.0000 0.0000
-2.5933 4.4918 0.0000
0.0000 0.0000 5.3945
Na Cd H Ir
2 1 6 1
direct
0.3333 0.6667 0.1763
0.6667 0.3333 0.8237
0.0000 0.0000 0.5000
0.1590 0.3180 0.8286
0.1590 0.8410 0.8286
0.3180 0.1590 0.1714
0.6820 0.8410 0.8286
0.8410 0.1590 0.1714
0.8410 0.6820 0.1714
0.0000 0.0000 0.0000
```

Summary:
DOS at the Fermi energy, states/eV/cell: 1.67

---

# 8
Below is a relaxed NaCd2H8Ir crystal, with properties calculated at the PBE level.

```
NaCd2H8Ir
1.0
4.7869 0.0000 0.0000
-2.3935 4.1456 0.0000
0.0000 0.0000 6.3677
Na Cd H Ir
1 2 8 1
direct
0.0000 0.0000 0.0000
0.3333 0.6667 0.3136
0.6667 0.3333 0.6864
0.1607 0.3214 0.6600
0.1607 0.8393 0.6600
0.3214 0.1607 0.3400
0.3333 0.6667 0.0337
0.6667 0.3333 0.9663
0.6786 0.8393 0.6600
0.8393 0.1607 0.3400
0.8393 0.6786 0.3400
0.0000 0.0000 0.5000
```

Summary:
DOS at the Fermi energy, states/eV/cell: 0.00

---

no.,total energy (Ry/atom)
1,-0.2841
2,-0.2549
3,-0.3003
4,-0.1956
5,-0.3500
6,-0.2843
7,-0.2513
8,-0.2424